1.
Compound: BaEuInGa
Source: Alexandria via LeMat-Bulk
Functional: PBE-GGA
Structure: relaxed

Unit cell a=5.725 b=5.725 c=5.725 alpha=60.00 beta=60.00 gamma=60.00
Atoms (fractional coordinates):
Eu  0.000  0.000  0.000
Ba  0.500  0.500  0.500
Ga  0.250  0.250  0.250
In  0.750  0.750  0.750

ΔE_f (eV/atom): -0.35
ρ (g cm⁻³): 5.9

=====

2.
Compound: PaCd2PbO8
Source: Alexandria via LeMat-Bulk
Functional: PBE-GGA
Structure: relaxed

Unit cell a=6.200 b=6.200 c=6.200 alpha=114.59 beta=114.59 gamma=99.66
Atoms (fractional coordinates):
Pa  0.000  0.000  0.000
Cd  0.750  0.250  0.500
Cd  0.500  0.500  0.000
Pb  0.250  0.750  0.500
O  0.341  0.034  0.307
O  0.274  0.453  0.179
O  0.274  0.094  0.821
O  0.727  0.034  0.693
O  0.906  0.726  0.179
O  0.966  0.273  0.307
O  0.966  0.659  0.693
O  0.547  0.726  0.821

Raw formation energy (eV per atom): -1.244
ρ (g cm⁻³): 7.3